# 1
A relaxed structure of Zr2Zn2Ni15. Source: Alexandria, functional GGA-PBE.

a b c (Å): 6.2266 6.2266 6.2266
angles (deg): 82.35 82.35 82.35
With the nearest neighbours (Å) after each atom.
Fractional positions:
Zr  0.1511  0.1511  0.1511  15 Ni 2.85-3.17, 1 Zn 3.01
Zr  0.8489  0.8489  0.8489  15 Ni 2.85-3.17, 1 Zn 3.01
Zn  0.3991  0.3991  0.3991  1 Zn 2.45, 6 Ni 2.50-2.58
Zn  0.6009  0.6009  0.6009  1 Zn 2.45, 6 Ni 2.50-2.58
Ni  0.0000  0.5000  0.5000  8 Ni 2.39, 2 Zn 2.50
Ni  0.1530  0.1530  0.6602  8 Ni 2.35-2.51, 1 Zn 2.58
Ni  0.1530  0.6602  0.1530  8 Ni 2.35-2.51, 1 Zn 2.58
Ni  0.1914  0.5000  0.8086  8 Ni 2.39-2.53
Ni  0.1914  0.8086  0.5000  8 Ni 2.39-2.53
Ni  0.3398  0.8470  0.8470  8 Ni 2.35-2.51, 1 Zn 2.58
Ni  0.5000  0.0000  0.5000  8 Ni 2.39, 2 Zn 2.50
Ni  0.5000  0.1914  0.8086  8 Ni 2.39-2.53
Ni  0.5000  0.5000  0.0000  8 Ni 2.39, 2 Zn 2.50
Ni  0.5000  0.8086  0.1914  8 Ni 2.39-2.53
Ni  0.6602  0.1530  0.1530  8 Ni 2.35-2.51, 1 Zn 2.58
Ni  0.8086  0.1914  0.5000  8 Ni 2.39-2.53
Ni  0.8086  0.5000  0.1914  8 Ni 2.39-2.53
Ni  0.8470  0.3398  0.8470  8 Ni 2.35-2.51, 1 Zn 2.58
Ni  0.8470  0.8470  0.3398  8 Ni 2.35-2.51, 1 Zn 2.58

Computed properties:
VASP energy: -110.24 eV/f.u.

---

# 2
A relaxed structure of HfBiBC2. Source: Alexandria, functional GGA-PBE.

a b c (Å): 4.3748 4.3748 4.4160
angles (deg): 90.00 90.00 90.00
With the nearest neighbours (Å) after each atom.
Fractional positions:
Hf  0.0000  0.0000  0.0000  4 B 3.09, 8 C 3.11
Bi  0.5000  0.5000  0.5000  4 C 2.19, 2 B 2.21
B  0.5000  0.5000  0.0000  2 Bi 2.21
C  0.0000  0.5000  0.5000  2 Bi 2.19
C  0.5000  0.0000  0.5000  2 Bi 2.19

Computed properties:
VASP energy: -25.46 eV/f.u.

---

# 3
A relaxed structure of K3Y. Source: Alexandria, functional GGA-PBE.

a b c (Å): 8.1486 8.1486 8.1486
angles (deg): 117.62 117.62 117.62
With the nearest neighbours (Å) after each atom.
Fractional positions:
K  0.0000  0.5000  0.5000  6 K 3.81-4.22, 2 Y 4.22
K  0.5000  0.0000  0.5000  6 K 3.81-4.22, 2 Y 4.22
K  0.5000  0.5000  0.0000  6 K 3.81-4.22, 2 Y 4.22
Y  0.0000  0.0000  0.0000  2 Y 3.81, 6 K 4.22

Computed properties:
VASP energy: -8.01 eV/f.u.